Entry 1:
First-principles (GGA-PBE) data for CdAg15 after structural relaxation, as listed in OQMD. Values from VASP.

The structure in Quantum ESPRESSO input format:
```
&SYSTEM
  ibrav = 0, nat = 32, ntyp = 2
/
ATOMIC_SPECIES
Ag 107.87 Ag.upf
Cd 112.41 Cd.upf
CELL_PARAMETERS angstrom
4.137 0.000 0.000
0.000 4.138 0.000
0.000 0.000 46.551
ATOMIC_POSITIONS angstrom
Ag 3.103 2.069 30.928
Ag 1.034 2.069 41.338
Ag 1.034 2.069 7.295
Ag 3.103 2.069 5.212
Ag 3.103 2.069 39.256
Ag 1.034 0.000 35.104
Ag 3.103 0.000 37.175
Ag 1.034 2.069 11.464
Ag 3.103 0.000 33.011
Ag 1.034 2.069 15.622
Ag 3.103 0.000 45.509
Ag 3.103 0.000 41.340
Ag 3.103 0.000 7.292
Ag 1.034 0.000 1.041
Ag 1.034 2.069 37.174
Ag 3.103 2.069 43.423
Ag 1.034 0.000 13.540
Ag 3.103 2.069 9.376
Ag 3.103 2.069 13.540
Ag 1.034 0.000 9.376
Ag 1.034 2.069 3.127
Ag 3.103 0.000 3.128
Ag 1.034 2.069 45.507
Ag 1.034 2.069 33.011
Ag 1.034 0.000 43.423
Ag 3.103 2.069 1.044
Ag 3.103 2.069 35.086
Ag 1.034 0.000 5.211
Ag 1.034 0.000 39.259
Ag 3.103 0.000 11.447
Cd 3.103 0.000 15.742
Cd 1.034 0.000 30.809
```

VASP energy = -0.1965 Ry per atom
Polymorph energy (0 for the lowest one) = 0 meV per atom
Energy of formation = 3 kJ/mol of atoms

Entry 2:
First-principles (GGA-PBE) data for Ta5Re8 after structural relaxation, as listed in OQMD. Values from VASP.

The structure in Quantum ESPRESSO input format:
```
&SYSTEM
  ibrav = 0, nat = 13, ntyp = 2
/
ATOMIC_SPECIES
Ta 180.95 Ta.upf
Re 186.21 Re.upf
CELL_PARAMETERS angstrom
-8.744 -3.806 1.999
-5.473 -7.806 2.015
-5.849 -4.760 6.171
ATOMIC_POSITIONS angstrom
Ta -16.709 -13.633 8.481
Ta -3.357 -2.739 1.704
Ta -6.968 -5.685 3.537
Ta -13.098 -10.687 6.648
Ta 0.000 0.000 0.000
Re -9.115 -7.437 4.626
Re -13.969 -13.048 8.299
Re -4.475 -5.307 1.893
Re -15.405 -12.575 6.231
Re -15.591 -11.065 8.292
Re -10.951 -8.935 5.558
Re -4.661 -3.797 3.953
Re -6.097 -3.324 1.885
```

VASP energy = -0.9062 Ry per atom
Polymorph energy (0 for the lowest one) = 0 meV per atom
Energy of formation = -12 kJ/mol of atoms

Entry 3:
First-principles (GGA-PBE) data for CsKAsAu after structural relaxation, as listed in OQMD. Values from VASP.

The structure in Quantum ESPRESSO input format:
```
&SYSTEM
  ibrav = 0, nat = 8, ntyp = 4
/
ATOMIC_SPECIES
Au 196.97 Au.upf
As 74.92 As.upf
K 39.10 K.upf
Cs 132.91 Cs.upf
CELL_PARAMETERS angstrom
-1.910 5.965 -1.632
-6.239 -2.163 -0.602
-0.441 -0.614 6.776
ATOMIC_POSITIONS angstrom
Au -3.120 -1.081 -0.301
Au 0.000 0.000 0.000
As -3.380 3.680 3.546
As -5.211 -0.492 0.995
K -6.478 2.979 1.659
K -2.112 0.209 2.882
Cs -5.933 0.637 4.426
Cs -2.657 2.552 0.114
```

VASP energy = -0.2182 Ry per atom
Polymorph energy (0 for the lowest one) = 0 meV per atom

- What is the polymorph energy (0 for the lowest one) in the first record?
  0 meV per atom

Please write out number 1 again, unchanged.
First-principles (GGA-PBE) data for CdAg15 after structural relaxation, as listed in OQMD. Values from VASP.

The structure in Quantum ESPRESSO input format:
```
&SYSTEM
  ibrav = 0, nat = 32, ntyp = 2
/
ATOMIC_SPECIES
Ag 107.87 Ag.upf
Cd 112.41 Cd.upf
CELL_PARAMETERS angstrom
4.137 0.000 0.000
0.000 4.138 0.000
0.000 0.000 46.551
ATOMIC_POSITIONS angstrom
Ag 3.103 2.069 30.928
Ag 1.034 2.069 41.338
Ag 1.034 2.069 7.295
Ag 3.103 2.069 5.212
Ag 3.103 2.069 39.256
Ag 1.034 0.000 35.104
Ag 3.103 0.000 37.175
Ag 1.034 2.069 11.464
Ag 3.103 0.000 33.011
Ag 1.034 2.069 15.622
Ag 3.103 0.000 45.509
Ag 3.103 0.000 41.340
Ag 3.103 0.000 7.292
Ag 1.034 0.000 1.041
Ag 1.034 2.069 37.174
Ag 3.103 2.069 43.423
Ag 1.034 0.000 13.540
Ag 3.103 2.069 9.376
Ag 3.103 2.069 13.540
Ag 1.034 0.000 9.376
Ag 1.034 2.069 3.127
Ag 3.103 0.000 3.128
Ag 1.034 2.069 45.507
Ag 1.034 2.069 33.011
Ag 1.034 0.000 43.423
Ag 3.103 2.069 1.044
Ag 3.103 2.069 35.086
Ag 1.034 0.000 5.211
Ag 1.034 0.000 39.259
Ag 3.103 0.000 11.447
Cd 3.103 0.000 15.742
Cd 1.034 0.000 30.809
```

VASP energy = -0.1965 Ry per atom
Polymorph energy (0 for the lowest one) = 0 meV per atom
Energy of formation = 3 kJ/mol of atoms

Please write out number 3 again, unchanged.
First-principles (GGA-PBE) data for CsKAsAu after structural relaxation, as listed in OQMD. Values from VASP.

The structure in Quantum ESPRESSO input format:
```
&SYSTEM
  ibrav = 0, nat = 8, ntyp = 4
/
ATOMIC_SPECIES
Au 196.97 Au.upf
As 74.92 As.upf
K 39.10 K.upf
Cs 132.91 Cs.upf
CELL_PARAMETERS angstrom
-1.910 5.965 -1.632
-6.239 -2.163 -0.602
-0.441 -0.614 6.776
ATOMIC_POSITIONS angstrom
Au -3.120 -1.081 -0.301
Au 0.000 0.000 0.000
As -3.380 3.680 3.546
As -5.211 -0.492 0.995
K -6.478 2.979 1.659
K -2.112 0.209 2.882
Cs -5.933 0.637 4.426
Cs -2.657 2.552 0.114
```

VASP energy = -0.2182 Ry per atom
Polymorph energy (0 for the lowest one) = 0 meV per atom

- VASP energy of number 2 (Ta5Re8)?
  -0.9062 Ry per atom